[1]
4
Lattice="2.749 -3.967 0.000 2.749 3.967 0.000 0.000 0.000 2.710" Properties=species:S:1:pos:R:3 comment="AgRuPt2 (meta-GGA SCAN, PBEsol geometry)" total_energy_ev_per_fu=-206.02 space_group="Cmmm, No. 65" density_g_cm3=16.8 pbc="T T T"
Ag 0.000 0.000 0.000
Ru 2.749 0.000 0.000
Pt 1.375 1.984 1.355
Pt 1.375 -1.984 1.355

[2]
4
Lattice="2.022 -2.928 0.000 2.022 2.928 0.000 0.000 0.000 6.489" Properties=species:S:1:pos:R:3 comment="LaP2Ir (meta-GGA SCAN, PBEsol geometry)" total_energy_ev_per_fu=-136.92 space_group="Cmmm, No. 65" density_g_cm3=8.5 pbc="T T T"
La 0.000 0.000 0.000
P 2.022 0.000 2.011
P 2.022 0.000 4.478
Ir 0.000 0.000 3.244

[3]
5
Lattice="5.855 0.000 0.000 0.000 5.855 0.000 0.000 0.000 5.065" Properties=species:S:1:pos:R:3 comment="K2HfBiAs (meta-GGA SCAN, PBEsol geometry)" total_energy_ev_per_fu=-177.43 space_group="P4/mmm, No. 123" density_g_cm3=5.2 pbc="T T T"
K 0.000 2.927 0.000
K 2.927 0.000 0.000
Hf 0.000 0.000 2.532
Bi 2.927 2.927 2.532
As 0.000 0.000 0.000

[4]
5
Lattice="5.525 0.000 0.000 0.000 5.525 0.000 0.000 0.000 3.793" Properties=species:S:1:pos:R:3 comment="YScTe2H (meta-GGA SCAN, PBEsol geometry)" total_energy_ev_per_fu=-124.79 space_group="P4/mmm, No. 123" density_g_cm3=5.6 pbc="T T T"
Y 0.000 0.000 0.000
Sc 2.762 2.762 1.896
Te 0.000 2.762 1.896
Te 2.762 0.000 1.896
H 2.762 2.762 0.000